DyHoIn | GGA-PBE | optimized geometry

a = 7.298 Å, b = 7.298 Å, c = 7.298 Å
α = 152.00°, β = 152.00°, γ = 40.01°
Atoms (fractional coordinates):
Dy (0.000, 0.000, 0.000)
Ho (0.312, 0.312, 0.000)
In (0.657, 0.657, 0.000)

Summary:
Energy above the lowest structure with this stoichiometry in meV/atom: 0.0
M_tot in μB per atom: 0.000
Energy of formation from the pure elements in eV per atom: -0.314
Uncorrected energy in eV per cell: -12.9
V in Å³/f.u.: 85.5